Record 1
Density functional theory data (PBE) for crystalline Ba2WBr at its relaxed geometry.

It has space group I-42d (No. 122), with a = 8.5905 Å, b = 8.5905 Å, c = 8.9373 Å, α = 90.00°, β = 90.00° and γ = 90.00°. The distinct sites, in fractional coordinates, are Ba at (0.2433, 0.2500, 0.1250), W at (0.0000, 0.0000, 0.0000) and Br at (0.0000, 0.0000, 0.5000).

The value obtained for the total magnetization is 12.4 Bohr magnetons per cell. The value obtained for the polymorph energy (0 for the lowest one) is 316 meV per atom. The density of states at the Fermi level comes out at 3.47 states/eV/f.u.

---

Record 2
Density functional theory data (PBE) for crystalline BaWBr3 at its relaxed geometry.

It has space group Pm-3m (No. 221), with a = 5.3469 Å, b = 5.3469 Å, c = 5.3469 Å, α = 90.00°, β = 90.00° and γ = 90.00°. The distinct sites, in fractional coordinates, are Ba at (0.0000, 0.0000, 0.0000), W at (0.5000, 0.5000, 0.5000) and Br at (0.0000, 0.5000, 0.5000).

The calculation puts the total energy at -4.23 eV per atom. The value obtained for the total magnetization is 3.4 Bohr magnetons per cell. The density of states at the Fermi level comes out at 3.17 states/eV/f.u.

---

Record 3
Density functional theory data (PBE) for crystalline Ba2ZrWBr at its relaxed geometry.

It has space group P4/mmm (No. 123), with a = 6.0774 Å, b = 6.0774 Å, c = 5.0763 Å, α = 90.00°, β = 90.00° and γ = 90.00°. The distinct sites, in fractional coordinates, are Ba at (0.0000, 0.5000, 0.0000), Zr at (0.0000, 0.0000, 0.5000), W at (0.5000, 0.5000, 0.5000) and Br at (0.0000, 0.0000, 0.0000).

The calculation puts the total energy at -4.42 eV per atom. The value obtained for the total magnetization is 2.4 Bohr magnetons per cell. The density of states at the Fermi level comes out at 6.46 states/eV/f.u.

---

Record 4
Density functional theory data (PBE) for crystalline BaZrW2Br at its relaxed geometry.

It has space group P4/mmm (No. 123), with a = 5.1459 Å, b = 5.1459 Å, c = 5.6595 Å, α = 90.00°, β = 90.00° and γ = 90.00°. The distinct sites, in fractional coordinates, are Ba at (0.0000, 0.0000, 0.0000), Zr at (0.5000, 0.5000, 0.5000), W at (0.0000, 0.5000, 0.0000) and Br at (0.0000, 0.0000, 0.5000).

The calculation puts the total energy at -4.78 eV per atom. The value obtained for the total magnetization is 2.1 Bohr magnetons per cell. The density of states at the Fermi level comes out at 8.14 states/eV/f.u.

---

Record 5
Density functional theory data (PBE) for crystalline Ba2YBr at its relaxed geometry.

It has space group I-4m2 (No. 119), with a = 4.9939 Å, b = 4.9939 Å, c = 14.7207 Å, α = 90.00°, β = 90.00° and γ = 90.00°. The distinct sites, in fractional coordinates, are Ba at (0.0000, 0.0000, 0.0000), Ba at (0.0000, 0.5000, 0.2500), Y at (0.0000, 0.0000, 0.5000) and Br at (0.0000, 0.5000, 0.7500).

The value obtained for the total magnetization is 3.0 Bohr magnetons per cell. The value obtained for the polymorph energy (0 for the lowest one) is 395 meV per atom. The density of states at the Fermi level comes out at 5.62 states/eV/f.u.

---

Record 6
Density functional theory data (PBE) for crystalline Ba2YBr at its relaxed geometry.

It has space group P4/mmm (No. 123), with a = 3.9732 Å, b = 3.9732 Å, c = 10.6660 Å, α = 90.00°, β = 90.00° and γ = 90.00°. The distinct sites, in fractional coordinates, are Ba at (0.0000, 0.0000, 0.2223), Y at (0.5000, 0.5000, 0.5000) and Br at (0.5000, 0.5000, 0.0000).

The value obtained for the total magnetization is 0.8 Bohr magnetons per cell. The value obtained for the polymorph energy (0 for the lowest one) is 40 meV per atom. The density of states at the Fermi level comes out at 6.22 states/eV/f.u.

---

Record 7
Density functional theory data (PBE) for crystalline BaY2Br at its relaxed geometry.

It has space group P4/mmm (No. 123), with a = 6.0086 Å, b = 6.0086 Å, c = 3.7805 Å, α = 90.00°, β = 90.00° and γ = 90.00°. The distinct sites, in fractional coordinates, are Ba at (0.0000, 0.0000, 0.0000), Y at (0.0000, 0.5000, 0.5000) and Br at (0.5000, 0.5000, 0.0000).

The value obtained for the total magnetization is 0.0 Bohr magnetons per cell. The value obtained for the polymorph energy (0 for the lowest one) is 614 meV per atom. The density of states at the Fermi level comes out at 5.38 states/eV/f.u.

---

Record 8
Density functional theory data (PBE) for crystalline Ba2YBr7 at its relaxed geometry.

It has space group C2/c (No. 15), with a = 17.7335 Å, b = 8.6796 Å, c = 11.5007 Å, α = 90.00°, β = 128.96° and γ = 90.00°. The distinct sites, in fractional coordinates, are Ba at (0.1977, 0.0185, 0.3074), Y at (0.0000, 0.4358, 0.7500), Br at (0.0000, 0.0917, 0.7500), Br at (0.0909, 0.3379, 0.0529), Br at (0.1188, 0.2877, 0.4259) and Br at (0.1876, 0.3663, 0.8309).

The value obtained for the total magnetization is 0.0 Bohr magnetons per cell. The value obtained for the polymorph energy (0 for the lowest one) is 68 meV per atom. The density of states at the Fermi level comes out at 0.00 states/eV/f.u.

---

Record 9
Density functional theory data (PBE) for crystalline BaY2Br at its relaxed geometry.

It has space group P2/m (No. 10), with a = 3.8166 Å, b = 6.8683 Å, c = 5.6553 Å, α = 90.00°, β = 90.51° and γ = 90.00°. The distinct sites, in fractional coordinates, are Ba at (0.0000, 0.0000, 0.0000), Y at (0.2788, 0.5000, 0.7597) and Br at (0.5000, 0.0000, 0.5000).

The value obtained for the total magnetization is 0.0 Bohr magnetons per cell. The value obtained for the polymorph energy (0 for the lowest one) is 259 meV per atom. The density of states at the Fermi level comes out at 4.82 states/eV/f.u.

---

Record 10
Density functional theory data (PBE) for crystalline Ba2YBr at its relaxed geometry.

It has space group Cm (No. 8), with a = 13.9357 Å, b = 3.8862 Å, c = 6.7208 Å, α = 90.00°, β = 112.38° and γ = 90.00°. The distinct sites, in fractional coordinates, are Ba at (0.0000, 0.0000, 0.0000), Ba at (0.1892, 0.0000, 0.6576), Y at (0.4177, 0.0000, 0.4399) and Br at (0.2626, 0.5000, 0.1265).

The value obtained for the total magnetization is 0.0 Bohr magnetons per cell. The value obtained for the polymorph energy (0 for the lowest one) is 156 meV per atom. The density of states at the Fermi level comes out at 4.72 states/eV/f.u.

---

Record 11
Density functional theory data (PBE) for crystalline BaY2Br at its relaxed geometry.

It has space group R-3m (No. 166, hexagonal axes), with a = 3.7713 Å, b = 3.7713 Å, c = 32.5196 Å, α = 90.00°, β = 90.00° and γ = 120.00°. The distinct sites, in fractional coordinates, are Ba at (0.0000, 0.0000, 0.0000), Y at (0.0000, 0.0000, 0.2364) and Br at (0.0000, 0.0000, 0.5000).

The value obtained for the total magnetization is 0.0 Bohr magnetons per cell. The value obtained for the polymorph energy (0 for the lowest one) is 180 meV per atom. The density of states at the Fermi level comes out at 4.90 states/eV/f.u.

---

Record 12
Density functional theory data (PBE) for crystalline BaY2Br at its relaxed geometry.

It has space group Imm2 (No. 44), with a = 3.7317 Å, b = 6.6353 Å, c = 11.9829 Å, α = 90.00°, β = 90.00° and γ = 90.00°. The distinct sites, in fractional coordinates, are Ba at (0.0000, 0.0000, 0.0000), Y at (0.0000, 0.0000, 0.4318), Y at (0.0000, 0.5000, 0.1822) and Br at (0.0000, 0.5000, 0.7388).

The value obtained for the total magnetization is 0.0 Bohr magnetons per cell. The value obtained for the polymorph energy (0 for the lowest one) is 307 meV per atom. The density of states at the Fermi level comes out at 6.23 states/eV/f.u.

---

Record 13
Density functional theory data (PBE) for crystalline Ba2YBr7 at its relaxed geometry.

It has space group C2/c (No. 15), with a = 21.0743 Å, b = 13.6811 Å, c = 12.8823 Å, α = 90.00°, β = 124.81° and γ = 90.00°. The distinct sites, in fractional coordinates, are Ba at (0.0757, 0.1838, 0.0619), Ba at (0.1212, 0.4382, 0.5318), Y at (0.1737, 0.1473, 0.6798), Br at (0.0623, 0.4120, 0.1622), Br at (0.0642, 0.0310, 0.6796), Br at (0.0746, 0.1918, 0.4228), Br at (0.0846, 0.2966, 0.6980), Br at (0.2034, 0.3472, 0.0609), Br at (0.2251, 0.0227, 0.1346) and Br at (0.2336, 0.2162, 0.3466).

The value obtained for the total magnetization is 0.0 Bohr magnetons per cell. The value obtained for the polymorph energy (0 for the lowest one) is 19 meV per atom. The density of states at the Fermi level comes out at 0.00 states/eV/f.u.

---

Record 14
Density functional theory data (PBE) for crystalline BaY2Br at its relaxed geometry.

It has space group Cm (No. 8), with a = 12.2122 Å, b = 3.6860 Å, c = 6.8910 Å, α = 90.00°, β = 105.77° and γ = 90.00°. The distinct sites, in fractional coordinates, are Ba at (0.0000, 0.0000, 0.0000), Y at (0.0576, 0.5000, 0.5126), Y at (0.3128, 0.5000, 0.4083) and Br at (0.2444, 0.0000, 0.7490).

The value obtained for the total magnetization is 0.0 Bohr magnetons per cell. The value obtained for the polymorph energy (0 for the lowest one) is 248 meV per atom. The density of states at the Fermi level comes out at 5.48 states/eV/f.u.